! PBE Tb12Si3N5, relaxed; values from VASP
! uncorrected formation energy	-953	meV per atom
! DOS(E_F)	0.53	states/eV/atom
&SYSTEM
  ibrav = 0, nat = 80, ntyp = 3
/
ATOMIC_SPECIES
Tb 158.93 Tb.upf
Si 28.09 Si.upf
N 14.01 N.upf
ATOMIC_POSITIONS angstrom
Tb 2.2908 -0.5026 0.8304
Tb 9.1682 4.6500 -4.3223
Tb 9.9302 0.5026 0.8304
Tb 9.1682 -2.9893 4.3223
Tb 7.1367 -0.8304 2.2908
Tb 11.9616 -1.5288 2.9893
Tb 0.8304 2.2908 -0.5026
Tb 10.6286 3.3171 -1.5288
Tb 4.6500 4.3223 -1.5288
Tb 6.8090 2.2908 0.5026
Tb -0.5026 0.8304 2.2908
Tb 4.3223 -1.5288 4.6500
Tb 7.1367 6.8090 -2.2908
Tb 4.3223 1.5288 2.9893
Tb 4.6500 -4.3223 9.1682
Tb 6.8090 -2.2908 7.1367
Tb 2.9893 4.3223 1.5288
Tb 8.4697 5.3485 0.5026
Tb 4.3223 9.1682 -2.9893
Tb 7.1367 0.8304 5.3485
Tb 2.2908 7.1367 -0.8304
Tb 9.1682 2.9893 3.3171
Tb 1.5288 2.9893 4.3223
Tb 2.2908 0.5026 6.8090
Tb 5.3485 7.1367 0.8304
Tb 6.1105 4.6500 3.3171
Tb -1.5288 4.6500 4.3223
Tb 5.3485 0.5026 8.4697
Tb 0.5026 6.8090 2.2908
Tb 3.3171 -1.5288 10.6286
Tb -0.8304 2.2908 7.1367
Tb 4.6500 3.3171 6.1105
Tb 0.8304 9.9302 0.5026
Tb 2.9893 11.9616 -1.5288
Tb 3.3171 6.1105 4.6500
Tb 0.5026 0.8304 9.9302
Tb 3.3171 9.1682 2.9893
Tb 8.1419 6.8090 5.3485
Tb 0.8304 5.3485 7.1367
Tb 2.9893 3.3171 9.1682
Tb -2.9893 4.3223 9.1682
Tb 6.8090 5.3485 8.1419
Tb -4.3223 9.1682 4.6500
Tb 0.5026 8.4697 5.3485
Tb -1.5288 10.6286 3.3171
Tb -2.2908 7.1367 6.8090
Tb -1.5288 2.9893 11.9616
Tb 5.3485 8.1419 6.8090
Si 3.8197 1.9098 0.0000
Si 7.6393 3.8197 -1.9098
Si 1.9098 0.0000 3.8197
Si 9.5492 0.0000 3.8197
Si 0.0000 3.8197 1.9098
Si 3.8197 -1.9098 7.6393
Si 3.8197 9.5492 0.0000
Si 7.6393 3.8197 5.7295
Si -1.9098 7.6393 3.8197
Si 5.7295 7.6393 3.8197
Si 0.0000 3.8197 9.5492
Si 3.8197 5.7295 7.6393
N 0.0000 0.0000 0.0000
N 3.8197 3.8197 -3.8197
N 3.8197 -3.8197 3.8197
N 7.6393 0.0000 0.0000
N 11.4590 1.9098 0.0000
N 7.6393 -3.8197 5.7295
N 5.7295 7.6393 -3.8197
N 5.7295 0.0000 3.8197
N 3.8197 5.7295 0.0000
N 7.6393 3.8197 1.9098
N -3.8197 3.8197 3.8197
N 0.0000 7.6393 0.0000
N 0.0000 0.0000 7.6393
N 3.8197 3.8197 3.8197
N 0.0000 3.8197 5.7295
N 3.8197 1.9098 7.6393
N 1.9098 7.6393 3.8197
N 1.9098 0.0000 11.4590
N 0.0000 11.4590 1.9098
N -3.8197 5.7295 7.6393
CELL_PARAMETERS angstrom
-7.6393 7.6393 7.6393
7.6393 -7.6393 7.6393
7.6393 7.6393 -7.6393